No. 1
An optimized crystal structure of FeAsIr2, computed with PBE-GGA.

Lattice parameters (Å, degrees): 3.576 3.999 3.999 90.00 90.00 90.00
Element x y z (fractional)
Fe1 0.500 0.000 0.500
As1 0.500 0.500 0.000
Ir1 0.000 0.000 0.000
Ir2 0.000 0.500 0.500

Output
SG = P4/mmm
Total energy = -7.55 eV/atom
DOS(E_F) = 4.22 states/eV per cell
Total magnetic moment = 3.1 μB/f.u.
DFT formation energy = 0.65 eV/f.u.

---

No. 2
An optimized crystal structure of ErBiAs2O8, computed with PBE-GGA.

Lattice parameters (Å, degrees): 5.571 5.571 6.989 90.00 90.00 120.00
Element x y z (fractional)
Bi1 0.000 0.000 0.500
As1 0.333 0.667 0.693
As2 0.667 0.333 0.307
O1 0.667 0.333 0.547
O2 0.835 0.165 0.222
O3 0.165 0.330 0.778
O4 0.333 0.667 0.453
O5 0.330 0.165 0.222
O6 0.670 0.835 0.778
O7 0.165 0.835 0.778
O8 0.835 0.670 0.222
Er1 0.000 0.000 0.000

Output
SG = P-3m1
Uncorrected formation energy = -1719 meV per atom
Total energy = -6.50 eV/atom
DOS(E_F) = 0.00 states/eV per cell
Total magnetic moment = 0.0 μB/f.u.

---

No. 3
An optimized crystal structure of PrGe12Os4, computed with PBE-GGA.

Lattice parameters (Å, degrees): 7.587 7.587 7.587 109.47 109.47 109.47
Element x y z (fractional)
Os1 0.000 0.500 0.000
Os2 0.500 0.500 0.500
Os3 0.500 0.000 0.000
Os4 0.000 0.000 0.500
Ge1 0.341 0.498 0.157
Ge2 0.157 0.341 0.498
Ge3 0.184 0.843 0.341
Ge4 0.502 0.843 0.659
Ge5 0.843 0.341 0.184
Ge6 0.659 0.502 0.843
Ge7 0.659 0.816 0.157
Ge8 0.157 0.659 0.816
Ge9 0.341 0.184 0.843
Ge10 0.816 0.157 0.659
Ge11 0.498 0.157 0.341
Ge12 0.843 0.659 0.502
Pr1 0.000 0.000 0.000

Output
SG = Im-3
Total energy = -6.09 eV/atom
DOS(E_F) = 8.26 states/eV per cell
Total magnetic moment = 0.0 μB/f.u.
DFT formation energy = 1.49 eV/f.u.

---

No. 4
An optimized crystal structure of TaTcS3, computed with PBE-GGA.

Lattice parameters (Å, degrees): 4.540 4.540 4.540 90.00 90.00 90.00
Element x y z (fractional)
Ta1 0.500 0.500 0.500
Tc1 0.000 0.000 0.000
S1 0.000 0.000 0.500
S2 0.000 0.500 0.000
S3 0.500 0.000 0.000

Output
SG = Pm-3m
Uncorrected formation energy = 784 meV per atom
Total energy = -6.14 eV/atom
DOS(E_F) = 7.62 states/eV per cell
Total magnetic moment = 0.0 μB/f.u.